Here is crystalline Ca2CoPdO6 at its relaxed geometry from Alexandria via LeMat-Bulk. Energies are from PBE with a Hubbard U.

Cell: 5.3866 5.3866 4.2494 Å, 90.00 90.00 90.00°
Space group P4mm (No. 99)
Inequivalent atoms, fractional coordinates:
Ca (0.0000, 0.5000, 0.0000) (multiplicity 2)
Co (0.0000, 0.0000, 0.5369) (multiplicity 1)
Pd (0.5000, 0.5000, 0.5853) (multiplicity 1)
O (0.0000, 0.0000, 0.1335) (multiplicity 1)
O (0.2420, 0.2420, 0.6545) (multiplicity 4)
O (0.5000, 0.5000, 0.1043) (multiplicity 1)

Calculated values
energy: -5.811 eV/atom
theoretical density: 4.599 g/cm3